Here is an optimized crystal structure of TmMgSb from OQMD via LeMat-Bulk. Energies are from GGA-PBE.

Results
Energy above the most stable polymorph in this dataset, meV/atom: 0.0
ρ, Mg/m³: 6.13
Calculated volume, Å³/cell: 341

Lattice parameters (Å, degrees): 6.989 6.989 6.989 90.00 90.00 90.00
Space group F-43m (No. 216)
Unique sites:
1 Tm 0.000 0.000 0.000 (multiplicity 4)
2 Mg 0.000 0.000 0.500 (multiplicity 4)
3 Sb 0.250 0.250 0.750 (multiplicity 4)